Record 1
# Tl4PdBr2 PBE optimized geometry
# Formation energy (no corrections)   -0.437 eV per atom
# Calculated volume   493 Å³ per cell
# Total moment   0.00 Bohr magnetons per cell
# DOS(E_F)   0.31 states/eV per atom
data_Tl4PdBr2
_chemical_formula_sum 'Tl8 Pd2 Br4'
_cell_length_a 5.3584
_cell_length_b 5.3584
_cell_length_c 17.1566
_cell_angle_alpha 90.00
_cell_angle_beta 90.00
_cell_angle_gamma 90.00
_symmetry_space_group_name_H-M 'I 4/m m m'
_symmetry_Int_Tables_number 139
_symmetry_space_group_name_Hall '-I 4 2'
loop_
_atom_site_label
_atom_site_type_symbol
_atom_site_fract_x
_atom_site_fract_y
_atom_site_fract_z
Tl1 Tl 0.0000 0.0000 0.1640
Tl2 Tl 0.0000 0.5000 0.0000
Pd1 Pd 0.0000 0.0000 0.0000
Br1 Br 0.0000 0.0000 0.3541

---

Record 2
# ThGaBr5 PBE optimized geometry
# Formation energy (no corrections)   -1.351 eV per atom
# Calculated volume   1191 Å³ per cell
# Total moment   0.00 Bohr magnetons per cell
# DOS(E_F)   0.00 states/eV per atom
data_ThGaBr5
_chemical_formula_sum 'Th4 Ga4 Br20'
_cell_length_a 12.8368
_cell_length_b 9.2957
_cell_length_c 11.1441
_cell_angle_alpha 90.00
_cell_angle_beta 116.38
_cell_angle_gamma 90.00
_symmetry_space_group_name_H-M 'C 1 2/c 1'
_symmetry_Int_Tables_number 15
loop_
_symmetry_equiv_pos_as_xyz
'x,y,z'
'-x,-y,-z'
'-x,y,-z+1/2'
'x,-y,z+1/2'
'x+1/2,y+1/2,z'
'-x+1/2,-y+1/2,-z'
'-x+1/2,y+1/2,-z+1/2'
'x+1/2,-y+1/2,z+1/2'
loop_
_atom_site_label
_atom_site_type_symbol
_atom_site_fract_x
_atom_site_fract_y
_atom_site_fract_z
Th1 Th 0.0000 0.0000 0.0000
Ga1 Ga 0.0000 0.4979 0.2500
Br1 Br 0.0000 0.1055 0.7500
Br2 Br 0.0618 0.2847 0.4670
Br3 Br 0.2345 0.0726 0.1422

---

Record 3
# Pm5HoIn8 PBE optimized geometry
# Calculated volume   815 Å³ per cell
# Total moment   0.00 Bohr magnetons per cell
# Energy of formation   -5.2 eV/f.u.
# DOS(E_F)   0.89 states/eV per atom
data_Pm5HoIn8
_chemical_formula_sum 'Pm10 Ho2 In16'
_cell_length_a 9.3759
_cell_length_b 9.3759
_cell_length_c 9.2672
_cell_angle_alpha 90.00
_cell_angle_beta 90.00
_cell_angle_gamma 90.00
_symmetry_space_group_name_H-M 'I -4'
_symmetry_Int_Tables_number 82
loop_
_symmetry_equiv_pos_as_xyz
'x,y,z'
'y,-x,-z'
'-x,-y,z'
'-y,x,-z'
'x+1/2,y+1/2,z+1/2'
'y+1/2,-x+1/2,-z+1/2'
'-x+1/2,-y+1/2,z+1/2'
'-y+1/2,x+1/2,-z+1/2'
loop_
_atom_site_label
_atom_site_type_symbol
_atom_site_fract_x
_atom_site_fract_y
_atom_site_fract_z
Pm1 Pm 0.0000 0.0000 0.0000
Pm2 Pm 0.1205 0.7526 0.3728
Ho1 Ho 0.0000 0.5000 0.7500
In1 In 0.0813 0.6649 0.0340
In2 In 0.0861 0.8265 0.7121

---

Look up the total moment of the first one. 0.00 Bohr magnetons per cell